{"formula": "KAu2", "functional": "PBE-GGA", "state": "optimized geometry", "cell": [[-2.375, 2.375, 7.999], [2.375, -2.375, 7.999], [2.375, 2.375, -7.999]], "species": ["K", "K", "Au", "Au", "Au", "Au"], "fractional_positions": [[0.375, 0.625, 0.750], [0.625, 0.375, 0.250], [0.040, 0.790, 0.250], [0.210, 0.960, 0.250], [0.790, 0.040, 0.750], [0.960, 0.210, 0.750]], "e_form_kcal_per_mol_atoms": -5.3}

{"formula": "KCdTc3", "functional": "PBE-GGA", "state": "optimized geometry", "cell": [[5.213, 0.000, 0.000], [0.000, 5.213, 0.000], [0.000, 0.000, 5.213]], "species": ["K", "Cd", "Tc", "Tc", "Tc"], "fractional_positions": [[0.000, 0.000, 0.000], [0.500, 0.500, 0.500], [0.000, 0.500, 0.500], [0.500, 0.000, 0.500], [0.500, 0.500, 0.000]], "de_polymorph_mev_per_atom": 0.0, "e_form_kcal_per_mol_atoms": 53.4}

{"formula": "Ac5PrTm", "functional": "PBE-GGA", "state": "optimized geometry", "cell": [[-3.091, 4.870, 6.462], [3.091, -4.870, 6.462], [3.091, 4.870, -6.462]], "species": ["Ac", "Ac", "Ac", "Ac", "Ac", "Pr", "Tm"], "fractional_positions": [[0.000, 0.000, 0.000], [0.249, 0.749, 0.500], [0.315, 0.500, 0.815], [0.685, 0.500, 0.185], [0.751, 0.251, 0.500], [0.500, 0.000, 0.500], [0.000, 0.500, 0.500]], "e_form_kcal_per_mol_atoms": 19.6}